The following is a DFT calculation (PBE-GGA) of a relaxed GdErCoPt crystal.

Values from the calculation:
VASP energy in eV/cell: -34.42
DOS(E_F) in states/eV per atom: 0.662
M_tot in μB per formula unit: 6.67

Structure (POSCAR):
```
GdErCoPt
1.0
-0.1363 -2.9545 3.8434
2.6104 -4.0873 0.0103
3.8727 -0.3966 2.8922
Gd Co Pt Er
1 1 1 1
Direct
0.5000 0.5000 0.5000
0.2500 0.2500 0.2500
0.7500 0.7500 0.7500
0.0000 0.0000 0.0000
```